Material: DyHf2Ga8
Method: DFT, PBE-GGA
State: relaxed

Cell and atoms, written as POSCAR:
```
DyHf2Ga8
1.0
-2.556 -3.527 -3.192
4.679 -4.055 -3.782
2.406 -6.154 2.616
Dy Hf Ga
1 2 8
Direct
0.500 0.000 0.000 Dy
0.000 0.285 0.431 Hf
0.000 0.715 0.569 Hf
0.811 0.126 0.210 Ga
0.811 0.336 0.790 Ga
0.260 0.426 0.000 Ga
0.500 0.757 0.486 Ga
0.500 0.243 0.514 Ga
0.740 0.574 0.000 Ga
0.189 0.664 0.210 Ga
0.189 0.874 0.790 Ga
```

Properties
Spin magnetization (μB per formula unit): 0.0
Symmetry: C2/m
E (eV for the cell shown): -50.6